1.
Mn5TcOs: relaxed, PBE.

Unit cell a=7.6096 b=4.5755 c=9.8821 alpha=90.00 beta=90.00 gamma=90.00
Closest atoms and distances in Å follow each position.
Element x y z (fractional)
Mn 0.0446 0.2500 0.0806  1 Tc 2.37, 4 Mn 2.52-2.58
Mn 0.0760 0.5074 0.3119  6 Mn 2.22-2.41
Mn 0.0760 0.9926 0.3119  6 Mn 2.22-2.41
Mn 0.0866 0.7500 0.5198  5 Mn 2.29-2.38
Mn 0.1926 0.7500 0.7365  5 Mn 2.25-2.41
Mn 0.3074 0.2500 0.2365  5 Mn 2.25-2.41
Mn 0.4134 0.2500 0.0198  5 Mn 2.29-2.38
Mn 0.4240 0.0074 0.8119  6 Mn 2.22-2.41
Mn 0.4240 0.4926 0.8119  6 Mn 2.22-2.41
Mn 0.4554 0.7500 0.5806  1 Tc 2.37, 4 Mn 2.52-2.58
Mn 0.5446 0.2500 0.4194  1 Tc 2.37, 4 Mn 2.52-2.58
Mn 0.5760 0.5074 0.1881  6 Mn 2.22-2.41
Mn 0.5760 0.9926 0.1881  6 Mn 2.22-2.41
Mn 0.5866 0.7500 0.9802  5 Mn 2.29-2.38
Mn 0.6926 0.7500 0.7635  5 Mn 2.25-2.41
Mn 0.8074 0.2500 0.2635  5 Mn 2.25-2.41
Mn 0.9134 0.2500 0.4802  5 Mn 2.29-2.38
Mn 0.9240 0.0074 0.6881  6 Mn 2.22-2.41
Mn 0.9240 0.4926 0.6881  6 Mn 2.22-2.41
Mn 0.9554 0.7500 0.9194  1 Tc 2.37, 4 Mn 2.52-2.58
Tc 0.1288 0.2500 0.8501  7 Mn 2.37-2.59
Tc 0.3712 0.7500 0.3501  7 Mn 2.37-2.59
Tc 0.6288 0.2500 0.6499  7 Mn 2.37-2.59
Tc 0.8712 0.7500 0.1499  7 Mn 2.37-2.59
Os 0.2442 0.2500 0.5682  10 Mn 2.63-2.93, 1 Tc 2.92
Os 0.2558 0.7500 0.0682  10 Mn 2.63-2.93, 1 Tc 2.92
Os 0.7442 0.2500 0.9318  10 Mn 2.63-2.93, 1 Tc 2.92
Os 0.7558 0.7500 0.4318  10 Mn 2.63-2.93, 1 Tc 2.92

## Properties
The value obtained for the total magnetic moment is 9.359 Bohr magnetons per cell. The total energy is -9.470 eV per atom. The calculation puts the density of states at the Fermi level at 29.23 states/eV per cell. The formation energy is 165 meV/atom. The space-group type is Pnma, No. 62. As for the calculated volume: 12.3 Å³ per atom.

***

2.
Cr2CoRe: relaxed, PBE.

Unit cell a=2.5517 b=2.5517 c=7.8073 alpha=90.00 beta=90.00 gamma=103.77
Closest atoms and distances in Å follow each position.
Element x y z (fractional)
Cr 0.0000 0.0000 0.2288  2 Co 2.38, 4 Cr 2.55, 2 Re 2.64
Cr 0.0000 0.0000 0.7712  2 Co 2.38, 4 Cr 2.55, 2 Re 2.64
Co 0.5000 0.5000 0.0000  4 Cr 2.38, 4 Co 2.55
Re 0.5000 0.5000 0.5000  4 Re 2.55, 4 Cr 2.64

## Properties
The value obtained for the total magnetic moment is 0.000 Bohr magnetons per cell. The total energy is -9.551 eV per atom. The calculation puts the density of states at the Fermi level at 4.18 states/eV per cell. The formation energy is 149 meV/atom. The space-group type is Cmmm, No. 65. As for the calculated volume: 12.3 Å³ per atom.

***

3.
LaTb7: relaxed, PBE.

Unit cell a=7.1612 b=7.1612 c=7.1612 alpha=60.00 beta=60.00 gamma=60.00
Closest atoms and distances in Å follow each position.
Element x y z (fractional)
La 0.0000 0.0000 0.0000  12 Tb 3.58
Tb 0.0000 0.0000 0.5000  10 Tb 3.58, 2 La 3.58
Tb 0.0000 0.5000 0.0000  10 Tb 3.58, 2 La 3.58
Tb 0.0000 0.5000 0.5000  10 Tb 3.58, 2 La 3.58
Tb 0.5000 0.0000 0.0000  10 Tb 3.58, 2 La 3.58
Tb 0.5000 0.0000 0.5000  10 Tb 3.58, 2 La 3.58
Tb 0.5000 0.5000 0.0000  10 Tb 3.58, 2 La 3.58
Tb 0.5000 0.5000 0.5000  12 Tb 3.58

## Properties
The value obtained for the total magnetic moment is 0.000 Bohr magnetons per cell. The total energy is -4.653 eV per atom. The calculation puts the density of states at the Fermi level at 9.74 states/eV per cell. The formation energy is 14 meV/atom. The space-group type is Fm-3m, No. 225. As for the calculated volume: 32.5 Å³ per atom.

***

4.
PaCo2W: relaxed, PBE.

Unit cell a=3.0348 b=3.0348 c=6.7548 alpha=90.00 beta=90.00 gamma=90.00
Closest atoms and distances in Å follow each position.
Element x y z (fractional)
Pa 0.0000 0.0000 0.0000  8 Co 2.95, 4 Pa 3.03
Co 0.5000 0.5000 0.2996  4 W 2.54, 1 Co 2.71
Co 0.5000 0.5000 0.7004  4 W 2.54, 1 Co 2.71
W 0.0000 0.0000 0.5000  8 Co 2.54

## Properties
The value obtained for the total magnetic moment is 0.015 Bohr magnetons per cell. For the energy above the most stable polymorph in this dataset, the calculation gives 0 meV/atom. The total energy is -9.115 eV per atom. The calculation puts the density of states at the Fermi level at 6.41 states/eV per cell. The formation energy is 50 meV/atom. The space-group type is P4/mmm, No. 123. As for the calculated volume: 15.6 Å³ per atom.

***

5.
Nd5Cd2Hg2: relaxed, PBE.

Unit cell a=9.3908 b=9.3908 c=8.6559 alpha=90.00 beta=90.00 gamma=46.24
Closest atoms and distances in Å follow each position.
Element x y z (fractional)
Nd 0.0000 0.0000 0.0000  4 Hg 3.12-3.22
Nd 0.0377 0.6826 0.6838  3 Cd 3.15-3.31, 2 Hg 3.24-3.26
Nd 0.1826 0.5377 0.1838  3 Cd 3.15-3.31, 2 Hg 3.24-3.26
Nd 0.3174 0.9623 0.6838  3 Cd 3.15-3.31, 2 Hg 3.24-3.26
Nd 0.4623 0.8174 0.1838  3 Cd 3.15-3.31, 2 Hg 3.24-3.26
Nd 0.5000 0.5000 0.5000  4 Hg 3.12-3.22
Nd 0.5377 0.1826 0.8162  3 Cd 3.15-3.31, 2 Hg 3.24-3.26
Nd 0.6826 0.0377 0.3162  3 Cd 3.15-3.31, 2 Hg 3.24-3.26
Nd 0.8174 0.4623 0.8162  3 Cd 3.15-3.31, 2 Hg 3.24-3.26
Nd 0.9623 0.3174 0.3162  3 Cd 3.15-3.31, 2 Hg 3.24-3.26
Cd 0.2161 0.2161 0.0000  6 Nd 3.15-3.31
Cd 0.2839 0.2839 0.5000  6 Nd 3.15-3.31
Cd 0.7161 0.7161 0.5000  6 Nd 3.15-3.31
Cd 0.7839 0.7839 0.0000  6 Nd 3.15-3.31
Hg 0.1103 0.8897 0.3595  1 Hg 2.93, 6 Nd 3.12-3.26
Hg 0.3897 0.6103 0.8595  1 Hg 2.93, 6 Nd 3.12-3.26
Hg 0.6103 0.3897 0.1405  1 Hg 2.93, 6 Nd 3.12-3.26
Hg 0.8897 0.1103 0.6405  1 Hg 2.93, 6 Nd 3.12-3.26

## Properties
The value obtained for the total magnetic moment is 0.000 Bohr magnetons per cell. The total energy is -3.189 eV per atom. The calculation puts the density of states at the Fermi level at 23.12 states/eV per cell. The formation energy is -270 meV/atom. The space-group type is Cmce, No. 64. As for the calculated volume: 30.6 Å³ per atom.

***

6.
MgTeH2: relaxed, PBE.

Unit cell a=5.7962 b=5.7962 c=5.7962 alpha=122.73 beta=122.73 gamma=85.33
Closest atoms and distances in Å follow each position.
Element x y z (fractional)
Mg 0.0000 0.0000 0.0000  4 H 1.77
Mg 0.7500 0.2500 0.5000  4 H 1.77
Te 0.2500 0.7500 0.5000  4 H 3.07
Te 0.5000 0.5000 0.0000  4 H 3.07
H 0.3750 0.1713 0.2963  2 Mg 1.77
H 0.8287 0.1250 0.2037  2 Mg 1.77
H 0.8750 0.0787 0.7037  2 Mg 1.77
H 0.9213 0.6250 0.7963  2 Mg 1.77

## Properties
The value obtained for the total magnetic moment is 0.000 Bohr magnetons per cell. For the energy above the most stable polymorph in this dataset, the calculation gives 269 meV/atom. The total energy is -2.640 eV per atom. The calculation puts the density of states at the Fermi level at 4.41 states/eV per cell. The space-group type is I-42d, No. 122. As for the calculated volume: 16.4 Å³ per atom.

***

7.
Ac4Pr5Sc: relaxed, PBE.

Unit cell a=9.1103 b=9.1103 c=12.1796 alpha=108.46 beta=108.46 gamma=23.75
Closest atoms and distances in Å follow each position.
Element x y z (fractional)
Ac 0.0898 0.0898 0.2871  4 Pr 3.51-3.91, 4 Ac 3.75-3.86, 2 Sc 3.83
Ac 0.3899 0.3899 0.2009  6 Pr 3.51-3.81, 1 Sc 3.60, 4 Ac 3.75-3.86
Ac 0.6101 0.6101 0.7991  6 Pr 3.51-3.81, 1 Sc 3.60, 4 Ac 3.75-3.86
Ac 0.9102 0.9102 0.7129  4 Pr 3.51-3.91, 4 Ac 3.75-3.86, 2 Sc 3.83
Pr 0.1830 0.1830 0.0738  4 Ac 3.51-3.69, 2 Sc 3.62, 4 Pr 3.75-3.90
Pr 0.2068 0.2068 0.6074  8 Pr 3.75-4.19, 5 Ac 3.78-3.91
Pr 0.5000 0.5000 0.5000  6 Ac 3.54-3.94, 2 Pr 3.75
Pr 0.7932 0.7932 0.3926  8 Pr 3.75-4.19, 5 Ac 3.78-3.91
Pr 0.8170 0.8170 0.9262  4 Ac 3.51-3.69, 2 Sc 3.62, 4 Pr 3.75-3.90
Sc 0.5000 0.5000 0.0000  6 Ac 3.60-3.83, 4 Pr 3.62, 2 Sc 3.75

## Properties
The value obtained for the total magnetic moment is 0.000 Bohr magnetons per cell. The total energy is -4.566 eV per atom. The calculation puts the density of states at the Fermi level at 16.37 states/eV per cell. The formation energy is 100 meV/atom. The space-group type is C2/m, No. 12. As for the calculated volume: 38.5 Å³ per atom.

***

8.
Na4Zn2Pb5: relaxed, PBE.

Unit cell a=8.2103 b=3.3816 c=10.7727 alpha=90.00 beta=92.94 gamma=90.00
Closest atoms and distances in Å follow each position.
Element x y z (fractional)
Na 0.1611 0.0000 0.3882  8 Pb 3.34-3.55, 3 Na 3.38-3.67, 2 Zn 3.42
Na 0.2798 0.0000 0.9409  4 Zn 3.23-3.25, 6 Pb 3.35-3.45, 2 Na 3.38
Na 0.7202 0.0000 0.0591  4 Zn 3.23-3.25, 6 Pb 3.35-3.45, 2 Na 3.38
Na 0.8389 0.0000 0.6118  8 Pb 3.34-3.55, 3 Na 3.38-3.67, 2 Zn 3.42
Zn 0.0524 0.5000 0.1206  1 Zn 2.69, 2 Pb 2.98-3.00
Zn 0.9476 0.5000 0.8794  1 Zn 2.69, 2 Pb 2.98-3.00
Pb 0.1836 0.5000 0.6782  1 Zn 2.98, 1 Pb 3.31
Pb 0.4096 0.5000 0.1959  1 Zn 3.00, 1 Pb 3.32, 2 Na 3.35
Pb 0.5000 0.5000 0.5000  6 Pb 3.31-3.38, 4 Na 3.42
Pb 0.5904 0.5000 0.8041  1 Zn 3.00, 1 Pb 3.32, 2 Na 3.35
Pb 0.8164 0.5000 0.3218  1 Zn 2.98, 1 Pb 3.31

## Properties
The value obtained for the total magnetic moment is 0.000 Bohr magnetons per cell. The total energy is -2.443 eV per atom. The calculation puts the density of states at the Fermi level at 5.57 states/eV per cell. The formation energy is -46 meV/atom. The space-group type is P2/m, No. 10. As for the calculated volume: 27.2 Å³ per atom.

***

9.
NdMg: relaxed, PBE.

Unit cell a=3.8909 b=3.8909 c=3.8909 alpha=90.00 beta=90.00 gamma=90.00
Closest atoms and distances in Å follow each position.
Element x y z (fractional)
Nd 0.0000 0.0000 0.0000  8 Mg 3.37
Mg 0.5000 0.5000 0.5000  8 Nd 3.37

## Properties
The value obtained for the total magnetic moment is 0.000 Bohr magnetons per cell. The total energy is -3.289 eV per atom. The calculation puts the density of states at the Fermi level at 2.54 states/eV per cell. The formation energy is -108 meV/atom. The space-group type is Pm-3m, No. 221. As for the calculated volume: 29.5 Å³ per atom.

***

10.
Hf2PaRh: relaxed, PBE.

Unit cell a=9.6818 b=9.6818 c=9.6818 alpha=18.87 beta=18.87 gamma=18.87
Closest atoms and distances in Å follow each position.
Element x y z (fractional)
Hf 0.0000 0.0000 0.0000  3 Rh 2.77
Hf 0.1878 0.1878 0.1878  3 Rh 2.77
Pa 0.7605 0.7605 0.7605  6 Pa 3.17, 6 Hf 3.24-3.25
Rh 0.5938 0.5938 0.5938  6 Hf 2.77

## Properties
The value obtained for the total magnetic moment is 0.000 Bohr magnetons per cell. For the energy above the most stable polymorph in this dataset, the calculation gives 124 meV/atom. The total energy is -9.437 eV per atom. The calculation puts the density of states at the Fermi level at 3.46 states/eV per cell. The formation energy is -249 meV/atom. The space-group type is R3m, No. 160. As for the calculated volume: 20.7 Å³ per atom.

***

11.
Rb2HfInGe: relaxed, PBE.

Unit cell a=6.7437 b=6.7437 c=5.5514 alpha=90.00 beta=90.00 gamma=90.00
Closest atoms and distances in Å follow each position.
Element x y z (fractional)
Rb 0.0000 0.5000 0.0000  2 In 3.37
Rb 0.5000 0.0000 0.0000  2 In 3.37
Hf 0.0000 0.0000 0.5000  2 In 2.78
In 0.0000 0.0000 0.0000  2 Hf 2.78
Ge 0.5000 0.5000 0.5000  8 Rb 4.37, 4 Hf 4.77

## Properties
The value obtained for the total magnetic moment is 1.745 Bohr magnetons per cell. The total energy is -2.724 eV per atom. The calculation puts the density of states at the Fermi level at 4.19 states/eV per cell. The formation energy is 1125 meV/atom. The space-group type is P4/mmm, No. 123. As for the calculated volume: 50.5 Å³ per atom.

***

12.
TlW: relaxed, PBE.

Unit cell a=3.1933 b=12.6609 c=6.9017 alpha=90.00 beta=90.00 gamma=90.00
Closest atoms and distances in Å follow each position.
Element x y z (fractional)
Tl 0.2500 0.0036 0.1991  4 W 2.97-3.14, 5 Tl 3.18-3.25
Tl 0.2500 0.4964 0.1991  4 W 2.97-3.14, 5 Tl 3.18-3.25
Tl 0.2500 0.7500 0.1252  4 W 3.07-3.08, 4 Tl 3.19-3.25
Tl 0.7500 0.2500 0.8748  4 W 3.07-3.08, 4 Tl 3.19-3.25
Tl 0.7500 0.5036 0.8009  4 W 2.97-3.14, 5 Tl 3.18-3.25
Tl 0.7500 0.9964 0.8009  4 W 2.97-3.14, 5 Tl 3.18-3.25
W 0.2500 0.2500 0.2556  4 W 2.54
W 0.2500 0.6473 0.5278  3 W 2.54-2.60
W 0.2500 0.8527 0.5278  3 W 2.54-2.60
W 0.7500 0.1473 0.4722  3 W 2.54-2.60
W 0.7500 0.3527 0.4722  3 W 2.54-2.60
W 0.7500 0.7500 0.7444  4 W 2.54

## Properties
The value obtained for the total magnetic moment is 0.000 Bohr magnetons per cell. For the energy above the most stable polymorph in this dataset, the calculation gives 244 meV/atom. The total energy is -6.792 eV per atom. The calculation puts the density of states at the Fermi level at 6.97 states/eV per cell. The formation energy is 868 meV/atom. The space-group type is Pmmn, No. 59. As for the calculated volume: 23.3 Å³ per atom.